Model one:
# NaBi4Pt2

NaBi4Pt2 after structural relaxation (GGA-PBE, Alexandria).

It has space group Pnma (No. 62), with a = 20.2837 Å, b = 4.5433 Å, c = 7.8563 Å, α = 90.00°, β = 90.00° and γ = 90.00°. The asymmetric unit holds Na at (0.1417, 0.2500, 0.0375), Bi at (0.0332, 0.7500, 0.8719), Bi at (0.0685, 0.2500, 0.4881), Bi at (0.1844, 0.7500, 0.3111), Bi at (0.1915, 0.7500, 0.7424), Pt at (0.0399, 0.7500, 0.2541) and Pt at (0.2174, 0.2500, 0.5279).

For the calculated density, the calculation gives 11.459 g/cm3.

Model two:
# NaBi4Pt2

NaBi4Pt2 after structural relaxation (GGA-PBE, Alexandria).

It has space group C2/c (No. 15), with a = 9.4972 Å, b = 11.3636 Å, c = 8.7699 Å, α = 90.00°, β = 122.75° and γ = 90.00°. The asymmetric unit holds Na at (0.0000, 0.1241, 0.2500), Bi at (0.0863, 0.2591, 0.6150), Bi at (0.2212, 0.4911, 0.8848), Pt at (0.0000, 0.5000, 0.0000) and Pt at (0.2500, 0.2500, 0.0000).

For the calculated density, the calculation gives 10.422 g/cm3.

Unit: meV per atom. Relative energies: model one 0; model two 63.

Model one:
# NaBi3Pt

NaBi3Pt after structural relaxation (GGA-PBE, Alexandria).

It has space group Pm-3m (No. 221), with a = 5.5399 Å, b = 5.5399 Å, c = 5.5399 Å, α = 90.00°, β = 90.00° and γ = 90.00°. The asymmetric unit holds Na at (0.0000, 0.0000, 0.0000), Bi at (0.0000, 0.5000, 0.5000) and Pt at (0.5000, 0.5000, 0.5000).

For the calculated density, the calculation gives 8.253 g/cm3.

Model two:
# NaBi3Pt

NaBi3Pt after structural relaxation (GGA-PBE, Alexandria).

It has space group Pnma (No. 62), with a = 10.0472 Å, b = 4.4765 Å, c = 12.8214 Å, α = 90.00°, β = 90.00° and γ = 90.00°. The asymmetric unit holds Na at (0.1394, 0.2500, 0.0183), Bi at (0.0783, 0.7500, 0.2199), Bi at (0.1116, 0.2500, 0.5543), Bi at (0.1956, 0.7500, 0.8163) and Pt at (0.0020, 0.2500, 0.3460).

For the calculated density, the calculation gives 9.733 g/cm3.

Model three:
# NaBi3Pt

NaBi3Pt after structural relaxation (GGA-PBE, Alexandria).

It has space group Pm-3m (No. 221), with a = 5.3285 Å, b = 5.3285 Å, c = 5.3285 Å, α = 90.00°, β = 90.00° and γ = 90.00°. The asymmetric unit holds Na at (0.0000, 0.0000, 0.0000), Bi at (0.0000, 0.0000, 0.5000) and Pt at (0.5000, 0.5000, 0.5000).

For the calculated density, the calculation gives 9.275 g/cm3.

Unit: meV per atom. Relative energies: model one 329; model two 0; model three 1195.

Model one:
# Rb3Na3Bi2

Rb3Na3Bi2 after structural relaxation (GGA-PBE, Alexandria).

It has space group Cmcm (No. 63), with a = 5.7000 Å, b = 13.1764 Å, c = 20.0890 Å, α = 90.00°, β = 90.00° and γ = 90.00°. The asymmetric unit holds Rb at (0.0000, 0.0728, 0.1023), Rb at (0.0000, 0.3705, 0.2500), Na at (0.0000, 0.3055, 0.7500), Na at (0.0000, 0.3223, 0.0371) and Bi at (0.0000, 0.2168, 0.6102).

For the calculated density, the calculation gives 3.272 g/cm3.

Model two:
# Rb3Na3Bi2

Rb3Na3Bi2 after structural relaxation (GGA-PBE, Alexandria).

It has space group Pnma (No. 62), with a = 10.4736 Å, b = 19.6426 Å, c = 7.1013 Å, α = 90.00°, β = 90.00° and γ = 90.00°. The asymmetric unit holds Rb at (0.0309, 0.0998, 0.1046), Rb at (0.1573, 0.2500, 0.6468), Na at (0.1576, 0.0391, 0.6065), Na at (0.1593, 0.7500, 0.5751) and Bi at (0.1303, 0.6071, 0.3944).

For the calculated density, the calculation gives 3.380 g/cm3.

Unit: meV per atom. Relative energies: model one 10; model two 0.

Model one:
# RbNaBi3

RbNaBi3 after structural relaxation (GGA-PBE, Alexandria).

It has space group Pm-3m (No. 221), with a = 5.7426 Å, b = 5.7426 Å, c = 5.7426 Å, α = 90.00°, β = 90.00° and γ = 90.00°. The asymmetric unit holds Rb at (0.0000, 0.0000, 0.0000), Na at (0.5000, 0.5000, 0.5000) and Bi at (0.0000, 0.5000, 0.5000).

For the calculated density, the calculation gives 6.448 g/cm3.

Model two:
# RbNaBi3

RbNaBi3 after structural relaxation (GGA-PBE, Alexandria).

It has space group Cmcm (No. 63), with a = 7.6456 Å, b = 16.1961 Å, c = 6.0961 Å, α = 90.00°, β = 90.00° and γ = 90.00°. The asymmetric unit holds Rb at (0.0000, 0.1117, 0.2500), Na at (0.0000, 0.5000, 0.0000), Bi at (0.0000, 0.3114, 0.7500) and Bi at (0.2095, 0.3454, 0.2500).

For the calculated density, the calculation gives 6.471 g/cm3.

Unit: meV per atom. Relative energies: model one 341; model two 0.

Model one:
# RbNa3Bi

RbNa3Bi after structural relaxation (GGA-PBE, Alexandria).

It has space group Pm-3m (No. 221), with a = 6.1961 Å, b = 6.1961 Å, c = 6.1961 Å, α = 90.00°, β = 90.00° and γ = 90.00°. The asymmetric unit holds Rb at (0.0000, 0.0000, 0.0000), Na at (0.0000, 0.5000, 0.5000) and Bi at (0.5000, 0.5000, 0.5000).

For the calculated density, the calculation gives 2.537 g/cm3.

Model two:
# RbNa3Bi

RbNa3Bi after structural relaxation (GGA-PBE, Alexandria).

It has space group Pm-3m (No. 221), with a = 5.9754 Å, b = 5.9754 Å, c = 5.9754 Å, α = 90.00°, β = 90.00° and γ = 90.00°. The asymmetric unit holds Rb at (0.0000, 0.0000, 0.0000), Na at (0.0000, 0.0000, 0.5000) and Bi at (0.5000, 0.5000, 0.5000).

For the calculated density, the calculation gives 2.829 g/cm3.

Model three:
# RbNa3Bi

RbNa3Bi after structural relaxation (GGA-PBE, Alexandria).

It has space group Imma (No. 74), with a = 9.2421 Å, b = 12.1316 Å, c = 8.2331 Å, α = 90.00°, β = 90.00° and γ = 90.00°. The asymmetric unit holds Rb at (0.0000, 0.2500, 0.1456), Na at (0.0000, 0.2500, 0.6102), Na at (0.2500, 0.0430, 0.7500) and Bi at (0.0000, 0.0000, 0.5000).

For the calculated density, the calculation gives 2.615 g/cm3.

Unit: meV per atom. Relative energies: model one 18; model two 723; model three 0.

Model one:
# NaRe3Bi

NaRe3Bi after structural relaxation (GGA-PBE, Alexandria).

It has space group Pm-3m (No. 221), with a = 5.0967 Å, b = 5.0967 Å, c = 5.0967 Å, α = 90.00°, β = 90.00° and γ = 90.00°. The asymmetric unit holds Na at (0.0000, 0.0000, 0.0000), Re at (0.0000, 0.5000, 0.5000) and Bi at (0.5000, 0.5000, 0.5000).

For the calculated density, the calculation gives 9.916 g/cm3.

Model two:
# NaRe3Bi

NaRe3Bi after structural relaxation (GGA-PBE, Alexandria).

It has space group Pm-3m (No. 221), with a = 4.6464 Å, b = 4.6464 Å, c = 4.6464 Å, α = 90.00°, β = 90.00° and γ = 90.00°. The asymmetric unit holds Na at (0.0000, 0.0000, 0.0000), Re at (0.0000, 0.0000, 0.5000) and Bi at (0.5000, 0.5000, 0.5000).

For the calculated density, the calculation gives 13.088 g/cm3.

Unit: meV per atom. Relative energies: model one 25; model two 0.

Model one:
# Na2Bi2Rh

Na2Bi2Rh after structural relaxation (GGA-PBE, Alexandria).

It has space group Immm (No. 71), with a = 3.3975 Å, b = 8.5734 Å, c = 9.2994 Å, α = 90.00°, β = 90.00° and γ = 90.00°. The asymmetric unit holds Na at (0.0000, 0.2028, 0.0000), Bi at (0.0000, 0.5000, 0.2293) and Rh at (0.0000, 0.0000, 0.5000).

For the calculated density, the calculation gives 6.950 g/cm3.

Model two:
# Na2Bi2Rh

Na2Bi2Rh after structural relaxation (GGA-PBE, Alexandria).

It has space group P4/mbm (No. 127), with a = 7.1280 Å, b = 7.1280 Å, c = 5.2824 Å, α = 90.00°, β = 90.00° and γ = 90.00°. The asymmetric unit holds Na at (0.1710, 0.3290, 0.0000), Bi at (0.1512, 0.6512, 0.5000) and Rh at (0.0000, 0.0000, 0.5000).

For the calculated density, the calculation gives 7.014 g/cm3.

Unit: meV per atom. Relative energies: model one 52; model two 0.

Model one:
# NaBi2Ru

NaBi2Ru after structural relaxation (GGA-PBE, Alexandria).

It has space group Fm-3m (No. 225), with a = 7.0407 Å, b = 7.0407 Å, c = 7.0407 Å, α = 90.00°, β = 90.00° and γ = 90.00°. The asymmetric unit holds Na at (0.0000, 0.0000, 0.0000), Bi at (0.2500, 0.2500, 0.2500) and Ru at (0.0000, 0.0000, 0.5000).

For the calculated density, the calculation gives 10.315 g/cm3.

Model two:
# NaBi2Ru

NaBi2Ru after structural relaxation (GGA-PBE, Alexandria).

It has space group P4/mmm (No. 123), with a = 3.3945 Å, b = 3.3945 Å, c = 8.5620 Å, α = 90.00°, β = 90.00° and γ = 90.00°. The asymmetric unit holds Na at (0.0000, 0.0000, 0.0000), Bi at (0.5000, 0.5000, 0.3035) and Ru at (0.0000, 0.0000, 0.5000).

For the calculated density, the calculation gives 9.123 g/cm3.

Model three:
# NaBi2Ru

NaBi2Ru after structural relaxation (GGA-PBE, Alexandria).

It has space group I-42d (No. 122), with a = 8.4389 Å, b = 8.4389 Å, c = 6.2695 Å, α = 90.00°, β = 90.00° and γ = 90.00°. The asymmetric unit holds Na at (0.0000, 0.0000, 0.0000), Bi at (0.1733, 0.2500, 0.6250) and Ru at (0.0000, 0.0000, 0.5000).

For the calculated density, the calculation gives 8.063 g/cm3.

Unit: meV per atom. Relative energies: model one 139; model two 0; model three 251.